Record 1
Computed, not measured: a geometry-optimized Ac2La2NdEr structure at the PBE-GGA level of DFT.

Values from the calculation:
ΔH_f (0 K) = 0.14 eV/atom
symmetry = P2_1/m (11)
E_tot = -53.14 eV for the cell shown
DOS at the Fermi energy = 1.591 states/eV per atom

abc: 6.7454 7.2866 9.3821
angles: 90.00 93.16 90.00
Element x y z (fractional)
Ac: 0.1738 0.0014 0.1728
Ac: 0.1738 0.4986 0.1728
Ac: 0.8262 0.5014 0.8272
Ac: 0.8262 0.9986 0.8272
La: 0.0950 0.7500 0.5169
La: 0.4023 0.2500 0.4987
La: 0.5977 0.7500 0.5013
La: 0.9050 0.2500 0.4831
Nd: 0.3247 0.2500 0.8452
Nd: 0.6753 0.7500 0.1548
Er: 0.3430 0.7500 0.8533
Er: 0.6570 0.2500 0.1467


Record 2
Computed, not measured: a geometry-optimized SbPdF2 structure at the PBE-GGA level of DFT.

Values from the calculation:
E above lowest polymorph = 213.0 meV per atom
symmetry = R-3m (166)
E_tot = -16.60 eV for the cell shown
DOS at the Fermi energy = 0.532 states/eV per atom

abc: 8.2099 8.2099 8.2099
angles: 21.63 21.63 21.63
Element x y z (fractional)
Sb: 0.0000 0.0000 0.0000
Pd: 0.5000 0.5000 0.5000
F: 0.4145 0.4145 0.4145
F: 0.5855 0.5855 0.5855


Record 3
Computed, not measured: a geometry-optimized Ca5Tl4Cu structure at the PBE-GGA level of DFT.

Values from the calculation:
ΔH_f (0 K) = -0.34 eV/atom
symmetry = P4/mmm (123)
E_tot = -27.00 eV for the cell shown
DOS at the Fermi energy = 0.861 states/eV per atom

abc: 3.8426 3.8426 19.2476
angles: 90.00 90.00 90.00
Element x y z (fractional)
Ca: 0.0000 0.0000 0.0000
Ca: 0.0000 0.0000 0.2061
Ca: 0.0000 0.0000 0.4113
Ca: 0.0000 0.0000 0.5887
Ca: 0.0000 0.0000 0.7939
Tl: 0.5000 0.5000 0.1043
Tl: 0.5000 0.5000 0.3073
Tl: 0.5000 0.5000 0.6927
Tl: 0.5000 0.5000 0.8957
Cu: 0.5000 0.5000 0.5000


For the records above, the corresponding total magnetization values read 0.0, 0.0, 0.0 μB per formula unit.